! Hf4CoOs, relaxed, DFT GGA-PBE; values from VASP
! **D(E_F)**: 6.64 states/eV/f.u.
! **DFT formation energy**: -112.9 kJ/mol of formula units
! **Energy above the lowest structure with this stoichiometry**: 0.0768 eV per atom
! **Uncorrected energy**: -59.3 eV for the cell shown
! **V**: 20.75 A^3/atom
! **Space group**: P4/mmm, No. 123
&SYSTEM
  ibrav = 0, nat = 6, ntyp = 3
/
ATOMIC_SPECIES
Hf 178.49 Hf.upf
Co 58.93 Co.upf
Os 190.23 Os.upf
ATOMIC_POSITIONS crystal
Hf 0.000 0.500 0.244
Hf 0.000 0.500 0.756
Hf 0.500 0.000 0.244
Hf 0.500 0.000 0.756
Co 0.000 0.000 0.000
Os 0.500 0.500 0.500
CELL_PARAMETERS angstrom
4.442 0.000 0.000
0.000 4.442 0.000
0.000 0.000 6.310

! Hf6CoOs5, relaxed, DFT GGA-PBE; values from VASP
! **D(E_F)**: 3.81 states/eV/f.u.
! **DFT formation energy**: -754.3 kJ/mol of formula units
! **Uncorrected energy**: -130.8 eV for the cell shown
! **V**: 17.07 A^3/atom
! **Space group**: P2/m, No. 10
&SYSTEM
  ibrav = 0, nat = 12, ntyp = 3
/
ATOMIC_SPECIES
Hf 178.49 Hf.upf
Co 58.93 Co.upf
Os 190.23 Os.upf
ATOMIC_POSITIONS crystal
Hf 0.000 0.247 0.000
Hf 0.000 0.753 0.000
Hf 0.334 0.249 0.669
Hf 0.334 0.751 0.669
Hf 0.666 0.249 0.331
Hf 0.666 0.751 0.331
Co 0.500 0.000 0.000
Os 0.166 0.000 0.332
Os 0.167 0.500 0.334
Os 0.500 0.500 0.000
Os 0.833 0.500 0.666
Os 0.834 0.000 0.668
CELL_PARAMETERS angstrom
4.596 0.000 0.000
0.000 6.467 0.000
-2.291 0.000 6.891

! Hf5Co4Os, relaxed, DFT GGA-PBE; values from VASP
! **D(E_F)**: 7.21 states/eV/f.u.
! **DFT formation energy**: -432.6 kJ/mol of formula units
! **Uncorrected energy**: -93.9 eV for the cell shown
! **V**: 16.13 A^3/atom
! **Space group**: P4/mmm, No. 123
&SYSTEM
  ibrav = 0, nat = 10, ntyp = 3
/
ATOMIC_SPECIES
Hf 178.49 Hf.upf
Co 58.93 Co.upf
Os 190.23 Os.upf
ATOMIC_POSITIONS crystal
Hf 0.000 0.000 0.000
Hf 0.000 0.000 0.197
Hf 0.000 0.000 0.396
Hf 0.000 0.000 0.604
Hf 0.000 0.000 0.803
Co 0.500 0.500 0.098
Co 0.500 0.500 0.296
Co 0.500 0.500 0.704
Co 0.500 0.500 0.902
Os 0.500 0.500 0.500
CELL_PARAMETERS angstrom
3.189 0.000 0.000
0.000 3.189 0.000
0.000 0.000 15.857

! Hf2CoOs, relaxed, DFT GGA-PBE; values from VASP
! **D(E_F)**: 1.43 states/eV/f.u.
! **DFT formation energy**: -215.4 kJ/mol of formula units
! **Uncorrected energy**: -40.5 eV for the cell shown
! **V**: 16.73 A^3/atom
! **Space group**: Fm-3m, No. 225
&SYSTEM
  ibrav = 0, nat = 4, ntyp = 3
/
ATOMIC_SPECIES
Hf 178.49 Hf.upf
Co 58.93 Co.upf
Os 190.23 Os.upf
ATOMIC_POSITIONS crystal
Hf 0.250 0.250 0.250
Hf 0.750 0.750 0.750
Co 0.000 0.000 0.000
Os 0.500 0.500 0.500
CELL_PARAMETERS angstrom
0.000 3.222 3.222
3.222 0.000 3.222
3.222 3.222 0.000

! HfCoOs2, relaxed, DFT GGA-PBE; values from VASP
! **D(E_F)**: 4.48 states/eV/f.u.
! **DFT formation energy**: 165.4 kJ/mol of formula units
! **Energy above the lowest structure with this stoichiometry**: 0.3303 eV per atom
! **Uncorrected energy**: -75.6 eV for the cell shown
! **V**: 16.61 A^3/atom
! **Space group**: I-42d, No. 122
&SYSTEM
  ibrav = 0, nat = 8, ntyp = 3
/
ATOMIC_SPECIES
Hf 178.49 Hf.upf
Co 58.93 Co.upf
Os 190.23 Os.upf
ATOMIC_POSITIONS crystal
Hf 0.000 0.000 0.000
Hf 0.750 0.250 0.500
Co 0.250 0.750 0.500
Co 0.500 0.500 0.000
Os 0.180 0.625 0.055
Os 0.375 0.430 0.555
Os 0.570 0.125 0.945
Os 0.875 0.820 0.445
CELL_PARAMETERS angstrom
-1.925 1.925 8.961
1.925 -1.925 8.961
1.925 1.925 -8.961

! PuHfCoOs, relaxed, DFT GGA-PBE; values from VASP
! **D(E_F)**: 6.43 states/eV/f.u.
! **DFT formation energy**: -67.4 kJ/mol of formula units
! **Uncorrected energy**: -43.3 eV for the cell shown
! **V**: 17.74 A^3/atom
! **Space group**: F-43m, No. 216
&SYSTEM
  ibrav = 0, nat = 4, ntyp = 4
/
ATOMIC_SPECIES
Pu 244.00 Pu.upf
Hf 178.49 Hf.upf
Co 58.93 Co.upf
Os 190.23 Os.upf
ATOMIC_POSITIONS crystal
Pu 0.000 0.000 0.000
Hf 0.500 0.500 0.500
Co 0.750 0.750 0.750
Os 0.250 0.250 0.250
CELL_PARAMETERS angstrom
0.000 3.286 3.286
3.286 0.000 3.286
3.286 3.286 0.000

! HfCo2OsS, relaxed, DFT GGA-PBE; values from VASP
! **D(E_F)**: 5.64 states/eV/f.u.
! **Uncorrected energy**: -31.4 eV for the cell shown
! **Formation energy (no corrections)**: 1.631 eV per atom
! **V**: 18.84 A^3/atom
! **Space group**: P4/mmm, No. 123
&SYSTEM
  ibrav = 0, nat = 5, ntyp = 4
/
ATOMIC_SPECIES
Hf 178.49 Hf.upf
Co 58.93 Co.upf
Os 190.23 Os.upf
S 32.06 S.upf
ATOMIC_POSITIONS crystal
Hf 0.000 0.000 0.000
Co 0.000 0.500 0.000
Co 0.500 0.000 0.000
Os 0.500 0.500 0.500
S 0.000 0.000 0.500
CELL_PARAMETERS angstrom
4.499 0.000 0.000
0.000 4.499 0.000
0.000 0.000 4.653

! HfScCoOs, relaxed, DFT GGA-PBE; values from VASP
! **D(E_F)**: 1.27 states/eV/f.u.
! **DFT formation energy**: -198.7 kJ/mol of formula units
! **Uncorrected energy**: -36.7 eV for the cell shown
! **V**: 16.25 A^3/atom
! **Space group**: P4mm, No. 99
&SYSTEM
  ibrav = 0, nat = 4, ntyp = 4
/
ATOMIC_SPECIES
Hf 178.49 Hf.upf
Sc 44.96 Sc.upf
Co 58.93 Co.upf
Os 190.23 Os.upf
ATOMIC_POSITIONS crystal
Hf 0.000 0.000 0.000
Sc 0.000 0.000 0.490
Co 0.500 0.500 0.237
Os 0.500 0.500 0.750
CELL_PARAMETERS angstrom
3.209 0.000 0.000
0.000 3.209 0.000
0.000 0.000 6.312

no.,total moment (Bohr magnetons per cell)
1,0.00
2,1.17
3,3.35
4,1.01
5,1.41
6,4.38
7,4.12
8,0.06